1.
This record from Alexandria describes AlCNF2 after structural relaxation. The functional is GGA-PBE.

Calculated values
DFT total energy ... -5.0802 eV/atom

Geometry as CIF:
```
data_AlCNF2
_space_group_name_H-M_alt 'P 4/m m m'
_space_group_IT_number 123
_space_group_name_Hall '-P 4 2'
_cell_length_a 3.541
_cell_length_b 3.541
_cell_length_c 4.101
_cell_angle_alpha 90.00
_cell_angle_beta 90.00
_cell_angle_gamma 90.00
loop_
_atom_site_label
_atom_site_type_symbol
_atom_site_fract_x
_atom_site_fract_y
_atom_site_fract_z
Al1 Al 0.000 0.000 0.000
C1 C 0.500 0.500 0.500
N1 N 0.000 0.000 0.500
F1 F 0.000 0.500 0.000
```

***

2.
This record from Alexandria describes AlCN2F after structural relaxation. The functional is GGA-PBE.

Calculated values
DFT total energy ... -5.0632 eV/atom

Geometry as CIF:
```
data_AlCN2F
_space_group_name_H-M_alt 'P 4/m m m'
_space_group_IT_number 123
_space_group_name_Hall '-P 4 2'
_cell_length_a 3.871
_cell_length_b 3.871
_cell_length_c 3.527
_cell_angle_alpha 90.00
_cell_angle_beta 90.00
_cell_angle_gamma 90.00
loop_
_atom_site_label
_atom_site_type_symbol
_atom_site_fract_x
_atom_site_fract_y
_atom_site_fract_z
Al1 Al 0.000 0.000 0.000
C1 C 0.500 0.500 0.500
N1 N 0.000 0.500 0.000
F1 F 0.000 0.000 0.500
```

***

3.
This record from Alexandria describes AlRhCF2 after structural relaxation. The functional is GGA-PBE.

Calculated values
DFT total energy ... -4.8769 eV/atom

Geometry as CIF:
```
data_AlRhCF2
_space_group_name_H-M_alt 'P 4/m m m'
_space_group_IT_number 123
_space_group_name_Hall '-P 4 2'
_cell_length_a 4.366
_cell_length_b 4.366
_cell_length_c 3.839
_cell_angle_alpha 90.00
_cell_angle_beta 90.00
_cell_angle_gamma 90.00
loop_
_atom_site_label
_atom_site_type_symbol
_atom_site_fract_x
_atom_site_fract_y
_atom_site_fract_z
Al1 Al 0.000 0.000 0.000
Rh1 Rh 0.500 0.500 0.500
C1 C 0.500 0.500 0.000
F1 F 0.000 0.500 0.500
```

***

4.
This record from Alexandria describes AlFeC3 after structural relaxation. The functional is GGA-PBE.

Calculated values
Energy of formation from the pure elements ... 2.640 eV/atom

Geometry as CIF:
```
data_AlFeC3
_space_group_name_H-M_alt 'P m -3 m'
_space_group_IT_number 221
_space_group_name_Hall '-P 4 2 3'
_cell_length_a 3.832
_cell_length_b 3.832
_cell_length_c 3.832
_cell_angle_alpha 90.00
_cell_angle_beta 90.00
_cell_angle_gamma 90.00
loop_
_atom_site_label
_atom_site_type_symbol
_atom_site_fract_x
_atom_site_fract_y
_atom_site_fract_z
Al1 Al 0.000 0.000 0.000
Fe1 Fe 0.500 0.500 0.500
C1 C 0.000 0.000 0.500
```

***

5.
This record from Alexandria describes Al6Fe10C after structural relaxation. The functional is GGA-PBE.

Calculated values
Energy of formation from the pure elements ... -0.151 eV/atom

Geometry as CIF:
```
data_Al6Fe10C
_space_group_name_H-M_alt 'P -3 1 m'
_space_group_IT_number 162
_space_group_name_Hall '-P 3 2'
_cell_length_a 7.0330
_cell_length_b 7.0330
_cell_length_c 4.7591
_cell_angle_alpha 90.00
_cell_angle_beta 90.00
_cell_angle_gamma 120.00
loop_
_atom_site_label
_atom_site_type_symbol
_atom_site_fract_x
_atom_site_fract_y
_atom_site_fract_z
Al1 Al 0.0000 0.4025 0.2446
Fe1 Fe 0.0000 0.2263 0.7460
Fe2 Fe 0.3333 0.6667 0.0000
Fe3 Fe 0.3333 0.6667 0.5000
C1 C 0.0000 0.0000 0.5000
```

***

6.
This record from Alexandria describes Al2Fe6C after structural relaxation. The functional is GGA-PBE.

Calculated values
Energy of formation from the pure elements ... -0.181 eV/atom

Geometry as CIF:
```
data_Al2Fe6C
_space_group_name_H-M_alt 'P 4/m m m'
_space_group_IT_number 123
_space_group_name_Hall '-P 4 2'
_cell_length_a 3.788
_cell_length_b 3.788
_cell_length_c 7.024
_cell_angle_alpha 90.00
_cell_angle_beta 90.00
_cell_angle_gamma 90.00
loop_
_atom_site_label
_atom_site_type_symbol
_atom_site_fract_x
_atom_site_fract_y
_atom_site_fract_z
Al1 Al 0.000 0.000 0.250
Fe1 Fe 0.000 0.500 0.000
Fe2 Fe 0.000 0.500 0.500
Fe3 Fe 0.500 0.500 0.227
C1 C 0.500 0.500 0.500
```

***

We obtain N(E_F) values of 0.58 0.65 0.47 2.30 1.10 0.73 states/eV/atom for the records listed above, in that order.